No. 1
First-principles (GGA-PBE) data for a relaxed Ho2ErZn3InGa2 crystal, as listed in OQMD. Values from VASP.

## Properties
SG	No. 38
energy	-3.43	eV/atom
density	8.5	g/cm3

Cell and atoms, written as Quantum ESPRESSO input:
```
&SYSTEM
  ibrav = 0, nat = 9, ntyp = 5
/
ATOMIC_SPECIES
Ho 164.93 Ho.upf
Er 167.26 Er.upf
Zn 65.41 Zn.upf
In 114.82 In.upf
Ga 69.72 Ga.upf
CELL_PARAMETERS angstrom
4.376 0.000 0.000
0.000 6.062 3.504
0.000 -6.062 3.504
ATOMIC_POSITIONS crystal
Ho 0.000 0.222 0.778
Ho 0.000 0.778 0.222
Er 0.000 0.335 0.335
Zn 0.500 0.033 0.033
Zn 0.500 0.524 0.778
Zn 0.500 0.778 0.524
In 0.000 0.777 0.777
Ga 0.500 0.112 0.445
Ga 0.500 0.445 0.112
```


No. 2
First-principles (GGA-PBE) data for a relaxed KAcPa crystal, as listed in OQMD. Values from VASP.

## Properties
SG	No. 216
energy	-3.10	eV/atom
density	6.0	g/cm3

Cell and atoms, written as Quantum ESPRESSO input:
```
&SYSTEM
  ibrav = 0, nat = 3, ntyp = 3
/
ATOMIC_SPECIES
K 39.10 K.upf
Ac 227.00 Ac.upf
Pa 231.04 Pa.upf
CELL_PARAMETERS angstrom
0.000 4.091 4.091
4.091 0.000 4.091
4.091 4.091 0.000
ATOMIC_POSITIONS crystal
K 0.000 0.000 0.000
Ac 0.750 0.750 0.750
Pa 0.250 0.250 0.250
```


No. 3
First-principles (GGA-PBE) data for a relaxed Nd7GaI12 crystal, as listed in OQMD. Values from VASP.

## Properties
SG	No. 148
energy	-4.02	eV/atom
density	5.3	g/cm3

Cell and atoms, written as Quantum ESPRESSO input:
```
&SYSTEM
  ibrav = 0, nat = 20, ntyp = 3
/
ATOMIC_SPECIES
Nd 144.24 Nd.upf
Ga 69.72 Ga.upf
I 126.90 I.upf
CELL_PARAMETERS angstrom
8.081 4.666 3.584
-8.081 4.666 3.584
0.000 -9.332 3.584
ATOMIC_POSITIONS crystal
Nd 0.000 0.000 0.000
Nd 0.180 0.464 0.392
Nd 0.392 0.180 0.464
Nd 0.464 0.392 0.180
Nd 0.536 0.608 0.820
Nd 0.608 0.820 0.536
Nd 0.820 0.536 0.608
Ga 0.500 0.500 0.500
I 0.027 0.108 0.345
I 0.108 0.345 0.027
I 0.188 0.578 0.731
I 0.269 0.812 0.422
I 0.345 0.027 0.108
I 0.422 0.269 0.812
I 0.578 0.731 0.188
I 0.655 0.973 0.892
I 0.731 0.188 0.578
I 0.812 0.422 0.269
I 0.892 0.655 0.973
I 0.973 0.892 0.655
```


No. 4
First-principles (GGA-PBE) data for a relaxed Re2PdO4 crystal, as listed in OQMD. Values from VASP.

## Properties
SG	No. 227
energy	-7.60	eV/atom
density	10.4	g/cm3

Cell and atoms, written as Quantum ESPRESSO input:
```
&SYSTEM
  ibrav = 0, nat = 14, ntyp = 3
/
ATOMIC_SPECIES
Re 186.21 Re.upf
Pd 106.42 Pd.upf
O 16.00 O.upf
CELL_PARAMETERS angstrom
0.000 4.432 4.432
4.432 0.000 4.432
4.432 4.432 0.000
ATOMIC_POSITIONS crystal
Re 0.000 0.000 0.000
Re 0.000 0.000 0.500
Re 0.000 0.500 0.000
Re 0.500 0.000 0.000
Pd 0.375 0.375 0.375
Pd 0.625 0.625 0.625
O 0.193 0.769 0.769
O 0.231 0.231 0.231
O 0.231 0.231 0.807
O 0.231 0.807 0.231
O 0.769 0.193 0.769
O 0.769 0.769 0.193
O 0.769 0.769 0.769
O 0.807 0.231 0.231
```


No. 5
First-principles (GGA-PBE) data for a relaxed CsNbTe3Au crystal, as listed in OQMD. Values from VASP.

## Properties
SG	No. 63
energy	-4.35	eV/atom
density	6.9	g/cm3

Cell and atoms, written as Quantum ESPRESSO input:
```
&SYSTEM
  ibrav = 0, nat = 12, ntyp = 4
/
ATOMIC_SPECIES
Cs 132.91 Cs.upf
Nb 92.91 Nb.upf
Te 127.60 Te.upf
Au 196.97 Au.upf
CELL_PARAMETERS angstrom
2.028 -8.723 0.000
2.028 8.723 0.000
0.000 0.000 10.935
ATOMIC_POSITIONS crystal
Cs 0.240 0.760 0.750
Cs 0.760 0.240 0.250
Nb 0.000 0.000 0.000
Nb 0.000 0.000 0.500
Te 0.067 0.933 0.250
Te 0.385 0.615 0.033
Te 0.385 0.615 0.467
Te 0.615 0.385 0.533
Te 0.615 0.385 0.967
Te 0.933 0.067 0.750
Au 0.458 0.542 0.250
Au 0.542 0.458 0.750
```


No. 6
First-principles (GGA-PBE) data for a relaxed KRbAg2Te2 crystal, as listed in OQMD. Values from VASP.

## Properties
SG	No. 164
energy	-3.00	eV/atom
density	4.8	g/cm3

Cell and atoms, written as Quantum ESPRESSO input:
```
&SYSTEM
  ibrav = 0, nat = 6, ntyp = 4
/
ATOMIC_SPECIES
K 39.10 K.upf
Rb 85.47 Rb.upf
Ag 107.87 Ag.upf
Te 127.60 Te.upf
CELL_PARAMETERS angstrom
4.831 0.000 0.000
-2.415 4.184 0.000
0.000 0.000 10.179
ATOMIC_POSITIONS crystal
K 0.000 0.000 0.000
Rb 0.000 0.000 0.500
Ag 0.333 0.667 0.760
Ag 0.667 0.333 0.240
Te 0.333 0.667 0.239
Te 0.667 0.333 0.761
```


No. 7
First-principles (GGA-PBE) data for a relaxed MgScNiSn crystal, as listed in OQMD. Values from VASP.

## Properties
SG	No. 216
energy	-4.60	eV/atom
density	5.7	g/cm3

Cell and atoms, written as Quantum ESPRESSO input:
```
&SYSTEM
  ibrav = 0, nat = 4, ntyp = 4
/
ATOMIC_SPECIES
Mg 24.30 Mg.upf
Sc 44.96 Sc.upf
Ni 58.69 Ni.upf
Sn 118.71 Sn.upf
CELL_PARAMETERS angstrom
0.000 3.307 3.307
3.307 0.000 3.307
3.307 3.307 0.000
ATOMIC_POSITIONS crystal
Mg 0.000 0.000 0.000
Sc 0.750 0.750 0.750
Ni 0.250 0.250 0.250
Sn 0.500 0.500 0.500
```


No. 8
First-principles (GGA-PBE) data for a relaxed Tm2Si2O5 crystal, as listed in OQMD. Values from VASP.

## Properties
SG	No. 123
energy	-6.93	eV/atom
density	7.1	g/cm3

Cell and atoms, written as Quantum ESPRESSO input:
```
&SYSTEM
  ibrav = 0, nat = 9, ntyp = 3
/
ATOMIC_SPECIES
Tm 168.93 Tm.upf
Si 28.09 Si.upf
O 16.00 O.upf
CELL_PARAMETERS angstrom
3.467 0.000 0.000
0.000 3.467 0.000
0.000 0.000 9.244
ATOMIC_POSITIONS crystal
Tm 0.000 0.000 0.244
Tm 0.000 0.000 0.756
Si 0.500 0.500 0.000
Si 0.500 0.500 0.500
O 0.000 0.000 0.000
O 0.000 0.500 0.378
O 0.000 0.500 0.622
O 0.500 0.000 0.378
O 0.500 0.000 0.622
```


No. 9
First-principles (GGA-PBE) data for a relaxed AlMo3C2 crystal, as listed in OQMD. Values from VASP.

## Properties
SG	No. 194
energy	-9.14	eV/atom
density	7.4	g/cm3

Cell and atoms, written as Quantum ESPRESSO input:
```
&SYSTEM
  ibrav = 0, nat = 12, ntyp = 3
/
ATOMIC_SPECIES
Al 26.98 Al.upf
Mo 95.94 Mo.upf
C 12.01 C.upf
CELL_PARAMETERS angstrom
3.068 0.000 0.000
-1.534 2.657 0.000
0.000 0.000 18.552
ATOMIC_POSITIONS crystal
Al 0.000 0.000 0.250
Al 0.000 0.000 0.750
Mo 0.000 0.000 0.000
Mo 0.000 0.000 0.500
Mo 0.333 0.667 0.131
Mo 0.333 0.667 0.369
Mo 0.667 0.333 0.631
Mo 0.667 0.333 0.869
C 0.333 0.667 0.571
C 0.333 0.667 0.929
C 0.667 0.333 0.071
C 0.667 0.333 0.429
```


No. 10
First-principles (GGA-PBE) data for a relaxed PrPuAu crystal, as listed in OQMD. Values from VASP.

## Properties
SG	No. 216
energy	-7.34	eV/atom
density	12.0	g/cm3

Cell and atoms, written as Quantum ESPRESSO input:
```
&SYSTEM
  ibrav = 0, nat = 3, ntyp = 3
/
ATOMIC_SPECIES
Pr 140.91 Pr.upf
Pu 244.00 Pu.upf
Au 196.97 Au.upf
CELL_PARAMETERS angstrom
0.000 3.431 3.431
3.431 0.000 3.431
3.431 3.431 0.000
ATOMIC_POSITIONS crystal
Pr 0.000 0.000 0.000
Pu 0.250 0.250 0.250
Au 0.500 0.500 0.500
```


No. 11
First-principles (GGA-PBE) data for a relaxed LaInAg2 crystal, as listed in OQMD. Values from VASP.

## Properties
SG	No. 194
energy	-3.43	eV/atom
density	7.8	g/cm3

Cell and atoms, written as Quantum ESPRESSO input:
```
&SYSTEM
  ibrav = 0, nat = 8, ntyp = 3
/
ATOMIC_SPECIES
La 138.91 La.upf
In 114.82 In.upf
Ag 107.87 Ag.upf
CELL_PARAMETERS angstrom
5.323 0.000 0.000
-2.662 4.610 0.000
0.000 0.000 8.194
ATOMIC_POSITIONS crystal
La 0.000 0.000 0.250
La 0.000 0.000 0.750
In 0.333 0.667 0.250
In 0.667 0.333 0.750
Ag 0.333 0.667 0.582
Ag 0.333 0.667 0.918
Ag 0.667 0.333 0.082
Ag 0.667 0.333 0.418
```


No. 12
First-principles (GGA-PBE) data for a relaxed BeNbFeSi crystal, as listed in OQMD. Values from VASP.

## Properties
SG	No. 216
energy	-7.05	eV/atom
density	6.4	g/cm3

Cell and atoms, written as Quantum ESPRESSO input:
```
&SYSTEM
  ibrav = 0, nat = 4, ntyp = 4
/
ATOMIC_SPECIES
Be 9.01 Be.upf
Nb 92.91 Nb.upf
Fe 55.84 Fe.upf
Si 28.09 Si.upf
CELL_PARAMETERS angstrom
0.000 2.893 2.893
2.893 0.000 2.893
2.893 2.893 0.000
ATOMIC_POSITIONS crystal
Be 0.000 0.000 0.000
Nb 0.750 0.750 0.750
Fe 0.500 0.500 0.500
Si 0.250 0.250 0.250
```